Below is an optimized crystal structure of PaI2Br2, with properties calculated at the PBE-GGA level.

## Properties
As for the total energy: -4.3582 eV/atom. The calculated volume is 237.14 Å³/f.u. For the density of states at the Fermi level, the calculation gives 0.951 states/eV/atom.

a = 7.3458 Å, b = 7.3458 Å, c = 4.4197 Å
α = 90.23°, β = 90.23°, γ = 83.90°
Fractional coordinates of all 5 atoms:
Pa (0.0000, 0.0000, 0.0000)
I (0.1999, 0.1999, 0.5027)
I (0.8001, 0.8001, 0.4973)
Br (0.2748, 0.7252, 0.0000)
Br (0.7252, 0.2748, 0.0000)